(1)
Density functional theory data (PBE-GGA) for HoZr2 after structural relaxation.

Output
Space group   Fd-3m
ΔE_f   3333 meV/atom
Crystal system   cubic

abc: 8.309 8.309 8.309
angles: 60.00 60.00 60.00
Fractional coordinates of all 6 atoms:
Ho 0.500 0.500 0.500
Ho 0.250 0.250 0.250
Zr 0.875 0.375 0.375
Zr 0.375 0.375 0.375
Zr 0.375 0.875 0.375
Zr 0.375 0.375 0.875

(2)
Density functional theory data (PBE-GGA) for NaSrTbTe3 after structural relaxation.

Output
Space group   Cmcm
ΔE to the lowest computed polymorph   88 meV/atom
Crystal system   orthorhombic

abc: 7.785 7.785 11.542
angles: 90.00 90.00 145.85
Fractional coordinates of all 12 atoms:
Sr 0.256 0.744 0.250
Sr 0.744 0.256 0.750
Na 0.022 0.978 0.750
Na 0.978 0.022 0.250
Te 0.858 0.142 0.449
Te 0.406 0.594 0.750
Te 0.858 0.142 0.051
Te 0.142 0.858 0.949
Te 0.142 0.858 0.551
Te 0.594 0.406 0.250
Tb 0.500 0.500 0.000
Tb 0.500 0.500 0.500

(3)
Density functional theory data (PBE-GGA) for InNiIrPd after structural relaxation.

Output
Uncorrected energy   -5.544 eV/atom
Space group   F-43m
Crystal system   cubic

abc: 4.421 4.421 4.421
angles: 60.00 60.00 60.00
Fractional coordinates of all 4 atoms:
Pd 0.250 0.250 0.250
In 0.000 0.000 0.000
Ni 0.750 0.750 0.750
Ir 0.500 0.500 0.500

(4)
Density functional theory data (PBE-GGA) for AsH6IrPd after structural relaxation.

Output
Uncorrected energy   -3.497 eV/atom
Space group   F-43m
Crystal system   cubic

abc: 4.504 4.504 4.504
angles: 60.00 60.00 60.00
Fractional coordinates of all 9 atoms:
Pd 0.750 0.750 0.750
H 0.846 0.846 0.153
H 0.846 0.154 0.154
H 0.154 0.846 0.154
H 0.153 0.846 0.846
H 0.846 0.153 0.846
H 0.154 0.154 0.846
As 0.500 0.500 0.500
Ir 0.250 0.250 0.250

(5)
Density functional theory data (PBE-GGA) for CdH12C2N2Cl4 after structural relaxation.

Output
Space group   P2_1/c
ΔE to the lowest computed polymorph   0 meV/atom
Crystal system   monoclinic

abc: 10.343 7.403 7.311
angles: 90.00 109.81 90.00
Fractional coordinates of all 42 atoms:
H 0.215 0.507 0.433
H 0.215 0.993 0.933
H 0.785 0.493 0.567
H 0.450 0.521 0.656
H 0.613 0.966 0.651
H 0.770 0.340 0.393
H 0.450 0.979 0.156
H 0.842 0.546 0.382
H 0.230 0.660 0.607
H 0.230 0.840 0.107
H 0.785 0.007 0.067
H 0.550 0.021 0.844
H 0.158 0.046 0.118
H 0.626 0.696 0.339
H 0.613 0.534 0.151
H 0.387 0.034 0.349
H 0.374 0.196 0.161
H 0.374 0.304 0.661
H 0.387 0.466 0.849
H 0.770 0.160 0.893
H 0.158 0.454 0.618
H 0.626 0.804 0.839
H 0.550 0.479 0.344
H 0.842 0.954 0.882
Cl 0.039 0.281 0.739
Cl 0.961 0.781 0.761
Cl 0.736 0.055 0.352
Cl 0.039 0.219 0.239
Cl 0.264 0.945 0.648
Cl 0.264 0.555 0.148
Cl 0.961 0.719 0.261
Cl 0.736 0.445 0.852
N 0.234 0.979 0.081
N 0.234 0.521 0.581
N 0.766 0.479 0.419
N 0.766 0.021 0.919
C 0.629 0.552 0.306
C 0.371 0.448 0.694
C 0.371 0.052 0.194
C 0.629 0.948 0.806
Cd 0.000 0.000 0.500
Cd 0.000 0.500 0.000

(6)
Density functional theory data (PBE-GGA) for PrNd2Ga3AgPd2 after structural relaxation.

Output
Uncorrected energy   -4.753 eV/atom
Space group   Amm2
Crystal system   orthorhombic

abc: 3.968 7.596 7.596
angles: 120.04 90.00 90.00
Fractional coordinates of all 9 atoms:
Pr 0.500 0.588 0.588
Ag 0.500 0.001 0.001
Ga 0.000 0.260 0.260
Ga 0.000 0.001 0.739
Ga 0.000 0.739 0.001
Nd 0.500 0.000 0.412
Nd 0.500 0.412 0.000
Pd 0.000 0.332 0.667
Pd 0.000 0.667 0.332